# Ti5In3H12 PBE optimized geometry
data_Ti5In3H12
_symmetry_space_group_name_H-M 'I a -3 d'
_symmetry_Int_Tables_number 230
_symmetry_space_group_name_Hall '-I 4bd 2c 3'
_cell_length_a 11.369
_cell_length_b 11.369
_cell_length_c 11.369
_cell_angle_alpha 90.00
_cell_angle_beta 90.00
_cell_angle_gamma 90.00
loop_
_atom_site_label
_atom_site_type_symbol
_atom_site_fract_x
_atom_site_fract_y
_atom_site_fract_z
_atom_site_occupancy
Ti1 Ti 0.000 0.000 0.000 1
Ti2 Ti 0.000 0.250 0.375 1
In1 In 0.000 0.250 0.125 1
H1 H 0.029 0.079 0.861 1
# electronic total energy	-90.4	eV per formula unit

# Tb6Y3Sc PBE optimized geometry
data_Tb6Y3Sc
_symmetry_space_group_name_H-M 'R 3'
_symmetry_Int_Tables_number 146
_symmetry_space_group_name_Hall 'R 3'
_cell_length_a 9.7830
_cell_length_b 9.7830
_cell_length_c 11.6770
_cell_angle_alpha 90.00
_cell_angle_beta 90.00
_cell_angle_gamma 120.00
loop_
_atom_site_label
_atom_site_type_symbol
_atom_site_fract_x
_atom_site_fract_y
_atom_site_fract_z
_atom_site_occupancy
Tb1 Tb 0.0029 0.3276 0.0000 1
Tb2 Tb 0.0094 0.6679 0.5015 1
Y1 Y 0.0000 0.0000 0.1677 1
Y2 Y 0.0000 0.0000 0.4247 1
Y3 Y 0.0000 0.0000 0.6764 1
Sc1 Sc 0.0000 0.0000 0.9228 1
# formation energy	0.250	eV/atom

# RbNaF2 PBE optimized geometry
data_RbNaF2
_symmetry_space_group_name_H-M 'R -3 m'
_symmetry_Int_Tables_number 166
_symmetry_space_group_name_Hall '-R 3 2"'
_cell_length_a 3.6658
_cell_length_b 3.6658
_cell_length_c 18.3337
_cell_angle_alpha 90.00
_cell_angle_beta 90.00
_cell_angle_gamma 120.00
loop_
_atom_site_label
_atom_site_type_symbol
_atom_site_fract_x
_atom_site_fract_y
_atom_site_fract_z
_atom_site_occupancy
Rb1 Rb 0.0000 0.0000 0.0000 1
Na1 Na 0.0000 0.0000 0.5000 1
F1 F 0.0000 0.0000 0.2356 1
# energy above the most stable polymorph in this dataset	0.634	kcal/mol of atoms
# raw formation energy	-2.63	eV/atom

# SbRh2Br PBE optimized geometry
data_SbRh2Br
_symmetry_space_group_name_H-M 'I -4 m 2'
_symmetry_Int_Tables_number 119
_symmetry_space_group_name_Hall 'I -4 -2'
_cell_length_a 3.822
_cell_length_b 3.822
_cell_length_c 9.976
_cell_angle_alpha 90.00
_cell_angle_beta 90.00
_cell_angle_gamma 90.00
loop_
_atom_site_label
_atom_site_type_symbol
_atom_site_fract_x
_atom_site_fract_y
_atom_site_fract_z
_atom_site_occupancy
Sb1 Sb 0.000 0.000 0.000 1
Rh1 Rh 0.000 0.000 0.500 1
Rh2 Rh 0.000 0.500 0.250 1
Br1 Br 0.000 0.500 0.750 1
# energy above the most stable polymorph in this dataset	10.885	kcal/mol of atoms
# raw formation energy	0.31	eV/atom